Entry 1:
# PBE-GGA SrAlCd2, relaxed
data_SrAlCd2
_chemical_formula_sum 'Sr1 Al1 Cd2'
_cell_length_a 3.670
_cell_length_b 3.670
_cell_length_c 7.744
_cell_angle_alpha 90.00
_cell_angle_beta 90.00
_cell_angle_gamma 90.00
_symmetry_space_group_name_H-M 'P 4/m m m'
_symmetry_Int_Tables_number 123
_symmetry_space_group_name_Hall '-P 4 2'
loop_
_atom_site_label
_atom_site_type_symbol
_atom_site_fract_x
_atom_site_fract_y
_atom_site_fract_z
Sr1 Sr 0.000 0.000 0.000
Al1 Al 0.000 0.000 0.500
Cd1 Cd 0.500 0.500 0.298
# Calculated formation energy (eV/atom): -0.092
# Size of the total moment (μB/f.u.): 0.0
# E (eV/atom): -1.905

Entry 2:
# PBE-GGA Ti2SiNi9, relaxed
data_Ti2SiNi9
_chemical_formula_sum 'Ti2 Si1 Ni9'
_cell_length_a 3.585
_cell_length_b 3.585
_cell_length_c 10.658
_cell_angle_alpha 90.00
_cell_angle_beta 90.00
_cell_angle_gamma 90.00
_symmetry_space_group_name_H-M 'P 4/m m m'
_symmetry_Int_Tables_number 123
_symmetry_space_group_name_Hall '-P 4 2'
loop_
_atom_site_label
_atom_site_type_symbol
_atom_site_fract_x
_atom_site_fract_y
_atom_site_fract_z
Ti1 Ti 0.000 0.000 0.170
Si1 Si 0.000 0.000 0.500
Ni1 Ni 0.000 0.500 0.000
Ni2 Ni 0.000 0.500 0.341
Ni3 Ni 0.500 0.500 0.171
Ni4 Ni 0.500 0.500 0.500
# Size of the total moment (μB/f.u.): 0.0
# E (eV/atom): -6.572
# ΔE_f (raw) (eV/atom): -0.468

Entry 3:
# PBE-GGA Rb2CaAlAs2, relaxed
data_Rb2CaAlAs2
_chemical_formula_sum 'Rb8 Ca4 Al4 As8'
_cell_length_a 6.617
_cell_length_b 22.769
_cell_length_c 6.645
_cell_angle_alpha 90.00
_cell_angle_beta 90.00
_cell_angle_gamma 90.00
_symmetry_space_group_name_H-M 'I b a m'
_symmetry_Int_Tables_number 72
_symmetry_space_group_name_Hall '-I 2 2c'
loop_
_atom_site_label
_atom_site_type_symbol
_atom_site_fract_x
_atom_site_fract_y
_atom_site_fract_z
Rb1 Rb 0.229 0.155 0.000
Ca1 Ca 0.000 0.500 0.250
Al1 Al 0.000 0.000 0.250
As1 As 0.206 0.061 0.500
# Calculated formation energy (eV/atom): -0.593
# Size of the total moment (μB/f.u.): 0.0
# E (eV/atom): -3.423

Entry 4:
# PBE-GGA BeCr2GeW, relaxed
data_BeCr2GeW
_chemical_formula_sum 'Be1 Cr2 Ge1 W1'
_cell_length_a 3.967
_cell_length_b 3.967
_cell_length_c 4.242
_cell_angle_alpha 90.00
_cell_angle_beta 90.00
_cell_angle_gamma 90.00
_symmetry_space_group_name_H-M 'P 4/m m m'
_symmetry_Int_Tables_number 123
_symmetry_space_group_name_Hall '-P 4 2'
loop_
_atom_site_label
_atom_site_type_symbol
_atom_site_fract_x
_atom_site_fract_y
_atom_site_fract_z
Be1 Be 0.000 0.000 0.000
Cr1 Cr 0.000 0.500 0.000
Ge1 Ge 0.500 0.500 0.500
W1 W 0.000 0.000 0.500
# Calculated formation energy (eV/atom): 0.804
# Size of the total moment (μB/f.u.): 0.0
# E (eV/atom): -7.304

Entry 5:
# PBE-GGA In2OsPt, relaxed
data_In2OsPt
_chemical_formula_sum 'In4 Os2 Pt2'
_cell_length_a 10.318
_cell_length_b 3.080
_cell_length_c 4.809
_cell_angle_alpha 90.00
_cell_angle_beta 110.22
_cell_angle_gamma 90.00
_symmetry_space_group_name_H-M 'C 1 m 1'
_symmetry_Int_Tables_number 8
loop_
_symmetry_equiv_pos_as_xyz
'x,y,z'
'x,-y,z'
'x+1/2,y+1/2,z'
'x+1/2,-y+1/2,z'
loop_
_atom_site_label
_atom_site_type_symbol
_atom_site_fract_x
_atom_site_fract_y
_atom_site_fract_z
In1 In 0.000 0.000 0.000
In2 In 0.221 0.000 0.605
Os1 Os 0.246 0.500 0.107
Pt1 Pt 0.468 0.000 0.486
# Calculated formation energy (eV/atom): 0.142
# Size of the total moment (μB/f.u.): 0.5
# E (eV/atom): -5.545

Entry 6:
# PBE-GGA AlCdTe2, relaxed
data_AlCdTe2
_chemical_formula_sum 'Al4 Cd4 Te8'
_cell_length_a 7.419
_cell_length_b 7.419
_cell_length_c 7.419
_cell_angle_alpha 90.00
_cell_angle_beta 90.00
_cell_angle_gamma 90.00
_symmetry_space_group_name_H-M 'F m -3 m'
_symmetry_Int_Tables_number 225
_symmetry_space_group_name_Hall '-F 4 2 3'
loop_
_atom_site_label
_atom_site_type_symbol
_atom_site_fract_x
_atom_site_fract_y
_atom_site_fract_z
Al1 Al 0.000 0.000 0.000
Cd1 Cd 0.000 0.000 0.500
Te1 Te 0.250 0.250 0.250
# Size of the total moment (μB/f.u.): 0.0
# E (eV/atom): -2.636
# ΔE_f (raw) (eV/atom): 0.099

Entry 7:
# PBE-GGA Bi3BSe, relaxed
data_Bi3BSe
_chemical_formula_sum 'Bi3 B1 Se1'
_cell_length_a 5.085
_cell_length_b 5.085
_cell_length_c 5.085
_cell_angle_alpha 90.00
_cell_angle_beta 90.00
_cell_angle_gamma 90.00
_symmetry_space_group_name_H-M 'P m -3 m'
_symmetry_Int_Tables_number 221
_symmetry_space_group_name_Hall '-P 4 2 3'
loop_
_atom_site_label
_atom_site_type_symbol
_atom_site_fract_x
_atom_site_fract_y
_atom_site_fract_z
Bi1 Bi 0.000 0.000 0.500
B1 B 0.000 0.000 0.000
Se1 Se 0.500 0.500 0.500
# Size of the total moment (μB/f.u.): 0.0
# E (eV/atom): -3.627
# ΔE_f (raw) (eV/atom): 0.734

Entry 8:
# PBE-GGA Ca5La, relaxed
data_Ca5La
_chemical_formula_sum 'Ca10 La2'
_cell_length_a 14.463
_cell_length_b 3.818
_cell_length_c 9.281
_cell_angle_alpha 90.00
_cell_angle_beta 105.48
_cell_angle_gamma 90.00
_symmetry_space_group_name_H-M 'C 1 m 1'
_symmetry_Int_Tables_number 8
loop_
_symmetry_equiv_pos_as_xyz
'x,y,z'
'x,-y,z'
'x+1/2,y+1/2,z'
'x+1/2,-y+1/2,z'
loop_
_atom_site_label
_atom_site_type_symbol
_atom_site_fract_x
_atom_site_fract_y
_atom_site_fract_z
Ca1 Ca 0.000 0.000 0.000
Ca2 Ca 0.057 0.000 0.621
Ca3 Ca 0.166 0.500 0.339
Ca4 Ca 0.227 0.500 0.946
Ca5 Ca 0.390 0.000 0.288
La1 La 0.333 0.000 0.668
# Calculated formation energy (eV/atom): 0.052
# Size of the total moment (μB/f.u.): 0.7
# E (eV/atom): -2.437

Entry 9:
# PBE-GGA CaScAs2I, relaxed
data_CaScAs2I
_chemical_formula_sum 'Ca1 Sc1 As2 I1'
_cell_length_a 5.224
_cell_length_b 5.224
_cell_length_c 6.299
_cell_angle_alpha 90.00
_cell_angle_beta 90.00
_cell_angle_gamma 90.00
_symmetry_space_group_name_H-M 'P 4/m m m'
_symmetry_Int_Tables_number 123
_symmetry_space_group_name_Hall '-P 4 2'
loop_
_atom_site_label
_atom_site_type_symbol
_atom_site_fract_x
_atom_site_fract_y
_atom_site_fract_z
Ca1 Ca 0.000 0.000 0.000
Sc1 Sc 0.000 0.000 0.500
As1 As 0.000 0.500 0.000
I1 I 0.500 0.500 0.500
# Size of the total moment (μB/f.u.): 0.5
# E (eV/atom): -3.279
# ΔE_f (raw) (eV/atom): 0.558

Entry 10:
# PBE-GGA K6Rb6Na, relaxed
data_K6Rb6Na
_chemical_formula_sum 'K6 Rb6 Na1'
_cell_length_a 8.7404
_cell_length_b 8.7404
_cell_length_c 16.1322
_cell_angle_alpha 90.00
_cell_angle_beta 90.00
_cell_angle_gamma 120.00
_symmetry_space_group_name_H-M 'P 6/m m m'
_symmetry_Int_Tables_number 191
_symmetry_space_group_name_Hall '-P 6 2'
loop_
_atom_site_label
_atom_site_type_symbol
_atom_site_fract_x
_atom_site_fract_y
_atom_site_fract_z
K1 K 0.0000 0.5000 0.2404
Rb1 Rb 0.0000 0.0000 0.3534
Rb2 Rb 0.3333 0.6667 0.0000
Rb3 Rb 0.3333 0.6667 0.5000
Na1 Na 0.0000 0.0000 0.0000
# Calculated formation energy (eV/atom): 0.059
# Size of the total moment (μB/f.u.): 0.0
# E (eV/atom): -0.996

Entry 11:
# PBE-GGA Y2U3Ru5, relaxed
data_Y2U3Ru5
_chemical_formula_sum 'Y8 U12 Ru20'
_cell_length_a 11.151
_cell_length_b 12.763
_cell_length_c 5.880
_cell_angle_alpha 90.00
_cell_angle_beta 90.00
_cell_angle_gamma 90.00
_symmetry_space_group_name_H-M 'I b a m'
_symmetry_Int_Tables_number 72
_symmetry_space_group_name_Hall '-I 2 2c'
loop_
_atom_site_label
_atom_site_type_symbol
_atom_site_fract_x
_atom_site_fract_y
_atom_site_fract_z
Y1 Y 0.232 0.105 0.000
U1 U 0.000 0.500 0.250
U2 U 0.104 0.155 0.500
Ru1 Ru 0.000 0.000 0.250
Ru2 Ru 0.000 0.297 0.250
Ru3 Ru 0.197 0.369 0.000
# Calculated formation energy (eV/atom): -0.202
# Size of the total moment (μB/f.u.): 2.9
# E (eV/atom): -9.519

Entry 12:
# PBE-GGA AlBi, relaxed
data_AlBi
_chemical_formula_sum 'Al8 Bi8'
_cell_length_a 11.866
_cell_length_b 11.866
_cell_length_c 4.550
_cell_angle_alpha 90.00
_cell_angle_beta 90.00
_cell_angle_gamma 90.00
_symmetry_space_group_name_H-M 'I 4/m'
_symmetry_Int_Tables_number 87
_symmetry_space_group_name_Hall '-I 4'
loop_
_atom_site_label
_atom_site_type_symbol
_atom_site_fract_x
_atom_site_fract_y
_atom_site_fract_z
Al1 Al 0.126 0.710 0.000
Bi1 Bi 0.109 0.281 0.000
# Calculated formation energy (eV/atom): 0.216
# Size of the total moment (μB/f.u.): 0.0
# E (eV/atom): -3.596

Entry 13:
# PBE-GGA GaSbTe4, relaxed
data_GaSbTe4
_chemical_formula_sum 'Ga2 Sb2 Te8'
_cell_length_a 13.302
_cell_length_b 4.355
_cell_length_c 7.475
_cell_angle_alpha 90.00
_cell_angle_beta 123.94
_cell_angle_gamma 90.00
_symmetry_space_group_name_H-M 'C 1 2/m 1'
_symmetry_Int_Tables_number 12
loop_
_symmetry_equiv_pos_as_xyz
'x,y,z'
'-x,-y,-z'
'-x,y,-z'
'x,-y,z'
'x+1/2,y+1/2,z'
'-x+1/2,-y+1/2,-z'
'-x+1/2,y+1/2,-z'
'x+1/2,-y+1/2,z'
loop_
_atom_site_label
_atom_site_type_symbol
_atom_site_fract_x
_atom_site_fract_y
_atom_site_fract_z
Ga1 Ga 0.000 0.000 0.000
Sb1 Sb 0.000 0.500 0.500
Te1 Te 0.148 0.500 0.993
Te2 Te 0.154 0.000 0.477
# Size of the total moment (μB/f.u.): 0.0
# E (eV/atom): -3.340
# ΔE_f (raw) (eV/atom): -0.054

Entry 14:
# PBE-GGA Ba8Bi5S, relaxed
data_Ba8Bi5S
_chemical_formula_sum 'Ba16 Bi10 S2'
_cell_length_a 10.565
_cell_length_b 10.565
_cell_length_c 10.739
_cell_angle_alpha 90.00
_cell_angle_beta 90.00
_cell_angle_gamma 90.00
_symmetry_space_group_name_H-M 'I -4'
_symmetry_Int_Tables_number 82
loop_
_symmetry_equiv_pos_as_xyz
'x,y,z'
'y,-x,-z'
'-x,-y,z'
'-y,x,-z'
'x+1/2,y+1/2,z+1/2'
'y+1/2,-x+1/2,-z+1/2'
'-x+1/2,-y+1/2,z+1/2'
'-y+1/2,x+1/2,-z+1/2'
loop_
_atom_site_label
_atom_site_type_symbol
_atom_site_fract_x
_atom_site_fract_y
_atom_site_fract_z
Ba1 Ba 0.064 0.198 0.200
Ba2 Ba 0.074 0.321 0.560
Bi1 Bi 0.000 0.000 0.500
Bi2 Bi 0.126 0.250 0.878
S1 S 0.000 0.500 0.250
# Size of the total moment (μB/f.u.): 0.0
# E (eV/atom): -3.839
# ΔE_f (raw) (eV/atom): -1.060

Entry 15:
# PBE-GGA AlSiSe, relaxed
data_AlSiSe
_chemical_formula_sum 'Al4 Si4 Se4'
_cell_length_a 6.276
_cell_length_b 6.276
_cell_length_c 6.276
_cell_angle_alpha 90.00
_cell_angle_beta 90.00
_cell_angle_gamma 90.00
_symmetry_space_group_name_H-M 'F -4 3 m'
_symmetry_Int_Tables_number 216
_symmetry_space_group_name_Hall 'F -4 2 3'
loop_
_atom_site_label
_atom_site_type_symbol
_atom_site_fract_x
_atom_site_fract_y
_atom_site_fract_z
Al1 Al 0.000 0.000 0.000
Si1 Si 0.250 0.250 0.750
Se1 Se 0.250 0.250 0.250
# Size of the total moment (μB/f.u.): 0.0
# E (eV/atom): -3.888
# ΔE_f (raw) (eV/atom): 0.329

Entry 16:
# PBE-GGA Sm3Ga6Ir5, relaxed
data_Sm3Ga6Ir5
_chemical_formula_sum 'Sm6 Ga12 Ir10'
_cell_length_a 4.243
_cell_length_b 12.757
_cell_length_c 9.480
_cell_angle_alpha 90.00
_cell_angle_beta 90.00
_cell_angle_gamma 90.00
_symmetry_space_group_name_H-M 'P m m n'
_symmetry_Int_Tables_number 59
loop_
_symmetry_equiv_pos_as_xyz
'x,y,z'
'-x,-y,-z'
'-x+1/2,-y+1/2,z'
'x+1/2,y+1/2,-z'
'x+1/2,-y,-z'
'-x+1/2,y,z'
'-x,y+1/2,-z'
'x,-y+1/2,z'
loop_
_atom_site_label
_atom_site_type_symbol
_atom_site_fract_x
_atom_site_fract_y
_atom_site_fract_z
Sm1 Sm 0.250 0.053 0.248
Sm2 Sm 0.250 0.750 0.243
Ga1 Ga 0.250 0.070 0.906
Ga2 Ga 0.250 0.250 0.074
Ga3 Ga 0.250 0.250 0.456
Ga4 Ga 0.250 0.597 0.522
Ir1 Ir 0.250 0.095 0.629
Ir2 Ir 0.250 0.637 0.965
Ir3 Ir 0.250 0.750 0.710
# Calculated formation energy (eV/atom): -0.697
# Size of the total moment (μB/f.u.): 0.0
# E (eV/atom): -6.170

Entry 17:
# PBE-GGA Hg2Se, relaxed
data_Hg2Se
_chemical_formula_sum 'Hg2 Se1'
_cell_length_a 4.8320
_cell_length_b 4.8320
_cell_length_c 3.8707
_cell_angle_alpha 90.00
_cell_angle_beta 90.00
_cell_angle_gamma 120.00
_symmetry_space_group_name_H-M 'P 6/m m m'
_symmetry_Int_Tables_number 191
_symmetry_space_group_name_Hall '-P 6 2'
loop_
_atom_site_label
_atom_site_type_symbol
_atom_site_fract_x
_atom_site_fract_y
_atom_site_fract_z
Hg1 Hg 0.3333 0.6667 0.0000
Se1 Se 0.0000 0.0000 0.5000
# Size of the total moment (μB/f.u.): 0.3
# E (eV/atom): -1.050
# ΔE_f (raw) (eV/atom): 0.313

Entry 18:
# PBE-GGA ErPaCd, relaxed
data_ErPaCd
_chemical_formula_sum 'Er2 Pa2 Cd2'
_cell_length_a 3.195
_cell_length_b 3.195
_cell_length_c 14.950
_cell_angle_alpha 90.00
_cell_angle_beta 90.00
_cell_angle_gamma 90.00
_symmetry_space_group_name_H-M 'I 4 m m'
_symmetry_Int_Tables_number 107
_symmetry_space_group_name_Hall 'I 4 -2'
loop_
_atom_site_label
_atom_site_type_symbol
_atom_site_fract_x
_atom_site_fract_y
_atom_site_fract_z
Er1 Er 0.000 0.000 0.000
Pa1 Pa 0.000 0.000 0.672
Cd1 Cd 0.000 0.000 0.339
# Calculated formation energy (eV/atom): 0.048
# Size of the total moment (μB/f.u.): 0.0
# E (eV/atom): -4.943

Entry 19:
# PBE-GGA Tm4Mn4Sn7, relaxed
data_Tm4Mn4Sn7
_chemical_formula_sum 'Tm16 Mn16 Sn28'
_cell_length_a 14.953
_cell_length_b 14.953
_cell_length_c 5.783
_cell_angle_alpha 90.00
_cell_angle_beta 90.00
_cell_angle_gamma 90.00
_symmetry_space_group_name_H-M 'I 4/m m m'
_symmetry_Int_Tables_number 139
_symmetry_space_group_name_Hall '-I 4 2'
loop_
_atom_site_label
_atom_site_type_symbol
_atom_site_fract_x
_atom_site_fract_y
_atom_site_fract_z
Tm1 Tm 0.000 0.194 0.000
Tm2 Tm 0.140 0.140 0.500
Mn1 Mn 0.150 0.350 0.250
Sn1 Sn 0.000 0.000 0.251
Sn2 Sn 0.000 0.287 0.500
Sn3 Sn 0.000 0.403 0.000
Sn4 Sn 0.204 0.204 0.000
# Calculated formation energy (eV/atom): -0.360
# Size of the total moment (μB/f.u.): 10.9
# E (eV/atom): -5.866

Entry 20:
# PBE-GGA Ac2CrN6, relaxed
data_Ac2CrN6
_chemical_formula_sum 'Ac8 Cr4 N24'
_cell_length_a 7.854
_cell_length_b 7.854
_cell_length_c 7.854
_cell_angle_alpha 90.00
_cell_angle_beta 90.00
_cell_angle_gamma 90.00
_symmetry_space_group_name_H-M 'F m -3 m'
_symmetry_Int_Tables_number 225
_symmetry_space_group_name_Hall '-F 4 2 3'
loop_
_atom_site_label
_atom_site_type_symbol
_atom_site_fract_x
_atom_site_fract_y
_atom_site_fract_z
Ac1 Ac 0.250 0.250 0.250
Cr1 Cr 0.000 0.000 0.000
N1 N 0.000 0.000 0.240
# Size of the total moment (μB/f.u.): 0.0
# E (eV/atom): -7.245
# ΔE_f (raw) (eV/atom): 0.288

Entry 21:
# PBE-GGA CsPtBr4, relaxed
data_CsPtBr4
_chemical_formula_sum 'Cs2 Pt2 Br8'
_cell_length_a 9.227
_cell_length_b 9.227
_cell_length_c 6.564
_cell_angle_alpha 90.00
_cell_angle_beta 90.00
_cell_angle_gamma 90.00
_symmetry_space_group_name_H-M 'I -4 m 2'
_symmetry_Int_Tables_number 119
_symmetry_space_group_name_Hall 'I -4 -2'
loop_
_atom_site_label
_atom_site_type_symbol
_atom_site_fract_x
_atom_site_fract_y
_atom_site_fract_z
Cs1 Cs 0.000 0.000 0.000
Pt1 Pt 0.000 0.500 0.250
Br1 Br 0.187 0.313 0.250
# Size of the total moment (μB/f.u.): 0.0
# E (eV/atom): -2.979
# ΔE_f (raw) (eV/atom): -0.715

Entry 22:
# PBE-GGA BaNa3Hf, relaxed
data_BaNa3Hf
_chemical_formula_sum 'Ba1 Na3 Hf1'
_cell_length_a 6.092
_cell_length_b 6.092
_cell_length_c 6.092
_cell_angle_alpha 90.00
_cell_angle_beta 90.00
_cell_angle_gamma 90.00
_symmetry_space_group_name_H-M 'P m -3 m'
_symmetry_Int_Tables_number 221
_symmetry_space_group_name_Hall '-P 4 2 3'
loop_
_atom_site_label
_atom_site_type_symbol
_atom_site_fract_x
_atom_site_fract_y
_atom_site_fract_z
Ba1 Ba 0.000 0.000 0.000
Na1 Na 0.000 0.500 0.500
Hf1 Hf 0.500 0.500 0.500
# Calculated formation energy (eV/atom): 0.991
# Size of the total moment (μB/f.u.): 3.6
# E (eV/atom): -2.176